(1)
An optimized crystal structure of HfVRe2. Source: the Alexandria database, functional GGA-PBE.

Electronic total energy   -10.292 eV per atom
Total magnetic moment   0.13 μB/f.u.
Calculated density   14.1 g cm⁻³
Space-group type   I-42d

a = 3.7993 Å, b = 3.7993 Å, c = 10.2042 Å
α = 79.27°, β = 79.27°, γ = 90.00°
With the nearest neighbours (Å) after each atom.
Sites, in units of the cell vectors:
Re1 0.1761 0.6250 0.2500  2 Re 2.43
Re2 0.3750 0.4261 0.7500  2 Re 2.43
Re3 0.8750 0.8239 0.7500  2 Re 2.43
Re4 0.5739 0.1250 0.2500  2 Re 2.43
Hf1 0.7500 0.2500 0.5000  4 V 2.69, 4 Re 2.88
Hf2 0.0000 0.0000 0.0000  4 V 2.69, 4 Re 2.88
V1 0.2500 0.7500 0.5000  4 Hf 2.69, 4 Re 2.74
V2 0.5000 0.5000 0.0000  4 Hf 2.69, 4 Re 2.74



(2)
An optimized crystal structure of Hf2V3Re. Source: the Alexandria database, functional GGA-PBE.

Electronic total energy   -10.196 eV per atom
Total magnetic moment   0.00 μB/f.u.
Calculated density   11.7 g cm⁻³
Space-group type   R-3m

a = 5.2295 Å, b = 5.2295 Å, c = 5.1592 Å
α = 90.05°, β = 120.50°, γ = 119.90°
With the nearest neighbours (Å) after each atom.
Sites, in units of the cell vectors:
Re1 0.0000 0.0000 0.0000  6 V 2.58
Hf1 0.7496 0.3746 0.1242  9 V 3.01-3.05, 3 Re 3.06-3.07, 4 Hf 3.14-3.19
Hf2 0.2504 0.6254 0.8758  9 V 3.01-3.05, 3 Re 3.06-3.07, 4 Hf 3.14-3.19
V1 0.0000 0.0000 0.5000  2 Re 2.58, 4 V 2.61-2.62
V2 0.5000 0.0000 0.5000  2 Re 2.58, 4 V 2.61
V3 0.5000 0.5000 0.5000  2 Re 2.58, 4 V 2.61-2.62



(3)
An optimized crystal structure of Hf3VRe. Source: the Alexandria database, functional GGA-PBE.

Total magnetic moment   3.13 μB/f.u.
Offset from the most stable computed form   0 meV per atom
Calculated density   10.2 g cm⁻³
Space-group type   Pm-3m

a = 5.0177 Å, b = 5.0177 Å, c = 5.0177 Å
α = 90.00°, β = 90.00°, γ = 90.00°
With the nearest neighbours (Å) after each atom.
Sites, in units of the cell vectors:
Hf1 0.5000 0.0000 0.0000  2 Re 2.51
Hf2 0.0000 0.0000 0.5000  2 Re 2.51
Hf3 0.0000 0.5000 0.0000  2 Re 2.51
Re1 0.0000 0.0000 0.0000  6 Hf 2.51
V1 0.5000 0.5000 0.5000  12 Hf 3.55



(4)
An optimized crystal structure of HfVRe2. Source: the Alexandria database, functional GGA-PBE.

Electronic total energy   -11.236 eV per atom
Total magnetic moment   0.00 μB/f.u.
Calculated density   15.8 g cm⁻³
Space-group type   P4/mmm

a = 3.1787 Å, b = 4.4652 Å, c = 4.4652 Å
α = 90.00°, β = 90.00°, γ = 90.00°
With the nearest neighbours (Å) after each atom.
Sites, in units of the cell vectors:
Re1 0.0000 0.5000 0.0000  4 Hf 2.74, 4 V 2.74
Re2 0.0000 0.0000 0.5000  4 Hf 2.74, 4 V 2.74
V1 0.5000 0.5000 0.5000  8 Re 2.74
Hf1 0.5000 0.0000 0.0000  8 Re 2.74



(5)
An optimized crystal structure of HfV2Re2. Source: the Alexandria database, functional GGA-PBE.

Electronic total energy   -10.521 eV per atom
Total magnetic moment   0.00 μB/f.u.
Calculated density   13.6 g cm⁻³
Space-group type   P4/mbm

a = 7.5185 Å, b = 7.5185 Å, c = 2.8198 Å
α = 90.00°, β = 90.00°, γ = 90.00°
With the nearest neighbours (Å) after each atom.
Sites, in units of the cell vectors:
Hf1 0.0000 0.0000 0.0000  2 Hf 2.82, 4 V 2.90
Hf2 0.5000 0.5000 0.0000  2 Hf 2.82, 4 V 2.90
Re1 0.1547 0.6547 0.5000  6 V 2.59-2.63, 2 Re 2.82
Re2 0.3453 0.1547 0.5000  6 V 2.59-2.63, 2 Re 2.82
Re3 0.6547 0.8453 0.5000  6 V 2.59-2.63, 2 Re 2.82
Re4 0.8453 0.3453 0.5000  6 V 2.59-2.63, 2 Re 2.82
V1 0.8591 0.6409 0.0000  6 Re 2.59-2.63, 2 V 2.82, 2 Hf 2.90
V2 0.6409 0.1409 0.0000  6 Re 2.59-2.63, 2 V 2.82, 2 Hf 2.90
V3 0.1409 0.3591 0.0000  6 Re 2.59-2.63, 2 V 2.82, 2 Hf 2.90
V4 0.3591 0.8591 0.0000  6 Re 2.59-2.63, 2 V 2.82, 2 Hf 2.90



(6)
An optimized crystal structure of HfVRe2. Source: the Alexandria database, functional GGA-PBE.

Electronic total energy   -11.299 eV per atom
Total magnetic moment   0.00 μB/f.u.
Calculated density   15.8 g cm⁻³
Space-group type   P4/mmm

a = 3.1470 Å, b = 3.1470 Å, c = 6.3953 Å
α = 90.00°, β = 90.00°, γ = 90.00°
With the nearest neighbours (Å) after each atom.
Sites, in units of the cell vectors:
V1 0.5000 0.5000 0.0000  8 Re 2.66
Re1 0.0000 0.0000 0.7708  4 V 2.66, 4 Hf 2.82, 1 Re 2.93
Re2 0.0000 0.0000 0.2292  4 V 2.66, 4 Hf 2.82, 1 Re 2.93
Hf1 0.5000 0.5000 0.5000  8 Re 2.82, 4 Hf 3.15



(7)
An optimized crystal structure of HfV4Re5. Source: the Alexandria database, functional GGA-PBE.

Electronic total energy   -11.196 eV per atom
Total magnetic moment   0.00 μB/f.u.
Calculated density   14.8 g cm⁻³
Space-group type   P4/mmm

a = 3.0766 Å, b = 3.0766 Å, c = 15.6023 Å
α = 90.00°, β = 90.00°, γ = 90.00°
With the nearest neighbours (Å) after each atom.
Sites, in units of the cell vectors:
Re1 0.5000 0.5000 0.5000  8 V 2.65
Re2 0.5000 0.5000 0.8850  4 V 2.62, 4 Hf 2.82
Re3 0.5000 0.5000 0.1150  4 V 2.62, 4 Hf 2.82
Re4 0.5000 0.5000 0.6927  8 V 2.64-2.67
Re5 0.5000 0.5000 0.3073  8 V 2.64-2.67
V1 0.0000 0.0000 0.7916  8 Re 2.62-2.67
V2 0.0000 0.0000 0.2084  8 Re 2.62-2.67
V3 0.0000 0.0000 0.5972  8 Re 2.64-2.65
V4 0.0000 0.0000 0.4028  8 Re 2.64-2.65
Hf1 0.0000 0.0000 0.0000  8 Re 2.82, 4 Hf 3.08



(8)
An optimized crystal structure of HfV4Re. Source: the Alexandria database, functional GGA-PBE.

Electronic total energy   -9.954 eV per atom
Total magnetic moment   0.00 μB/f.u.
Calculated density   10.6 g cm⁻³
Space-group type   F-43m

a = 5.0193 Å, b = 5.0193 Å, c = 5.0193 Å
α = 60.00°, β = 60.00°, γ = 60.00°
With the nearest neighbours (Å) after each atom.
Sites, in units of the cell vectors:
Hf1 0.2500 0.2500 0.2500  12 V 2.94, 4 Re 3.07
V1 0.6249 0.6249 0.6249  6 V 2.51
V2 0.6249 0.6249 0.1254  6 V 2.51
V3 0.1254 0.6249 0.6249  6 V 2.51
V4 0.6249 0.1254 0.6249  6 V 2.51
Re1 0.0000 0.0000 0.0000  12 V 2.94, 4 Hf 3.07



(9)
An optimized crystal structure of YHfVRe2. Source: the Alexandria database, functional GGA-PBE.

Electronic total energy   -9.324 eV per atom
Total magnetic moment   0.33 μB/f.u.
Calculated density   11.2 g cm⁻³
Space-group type   P4/mmm

a = 4.6728 Å, b = 4.6954 Å, c = 4.6728 Å
α = 90.00°, β = 90.00°, γ = 90.00°
With the nearest neighbours (Å) after each atom.
Sites, in units of the cell vectors:
Re1 0.5000 0.0000 0.0000  2 V 2.34
Re2 0.0000 0.0000 0.5000  2 V 2.34
V1 0.0000 0.0000 0.0000  4 Re 2.34, 2 Hf 2.35
Hf1 0.0000 0.5000 0.0000  2 V 2.35
Y1 0.5000 0.5000 0.5000  4 Hf 3.30, 8 Re 3.31



(10)
An optimized crystal structure of HfZrV2Re. Source: the Alexandria database, functional GGA-PBE.

Electronic total energy   -8.334 eV per atom
Total magnetic moment   0.00 μB/f.u.
Calculated density   9.2 g cm⁻³
Space-group type   P4/mmm

a = 4.5155 Å, b = 4.9203 Å, c = 4.5155 Å
α = 90.00°, β = 90.00°, γ = 90.00°
With the nearest neighbours (Å) after each atom.
Sites, in units of the cell vectors:
Hf1 0.5000 0.5000 0.5000  4 Re 3.19, 8 V 3.34
Re1 0.0000 0.5000 0.0000  2 Zr 2.46
V1 0.0000 0.0000 0.5000  2 Zr 2.26
V2 0.5000 0.0000 0.0000  2 Zr 2.26
Zr1 0.0000 0.0000 0.0000  4 V 2.26, 2 Re 2.46



(11)
An optimized crystal structure of HfRe2W. Source: the Alexandria database, functional GGA-PBE.

Electronic total energy   -12.191 eV per atom
Total magnetic moment   0.00 μB/f.u.
Calculated density   18.5 g cm⁻³
Space-group type   P4/mmm

a = 3.1938 Å, b = 3.1938 Å, c = 6.4785 Å
α = 90.00°, β = 90.00°, γ = 90.00°
With the nearest neighbours (Å) after each atom.
Sites, in units of the cell vectors:
Re1 0.0000 0.0000 0.2377  4 W 2.73, 4 Hf 2.83
Re2 0.0000 0.0000 0.7623  4 W 2.73, 4 Hf 2.83
Hf1 0.5000 0.5000 0.5000  8 Re 2.83
W1 0.5000 0.5000 0.0000  8 Re 2.73



(12)
An optimized crystal structure of HfRe2W2. Source: the Alexandria database, functional GGA-PBE.

Total magnetic moment   0.00 μB/f.u.
Offset from the most stable computed form   0 meV per atom
Calculated density   17.7 g cm⁻³
Space-group type   P4/mbm

a = 7.7156 Å, b = 7.7156 Å, c = 2.9003 Å
α = 90.00°, β = 90.00°, γ = 90.00°
With the nearest neighbours (Å) after each atom.
Sites, in units of the cell vectors:
W1 0.1453 0.3547 0.0000  6 Re 2.65-2.71, 2 W 2.90, 2 Hf 2.96
W2 0.8547 0.6453 0.0000  6 Re 2.65-2.71, 2 W 2.90, 2 Hf 2.96
W3 0.6453 0.1453 0.0000  6 Re 2.65-2.71, 2 W 2.90, 2 Hf 2.96
W4 0.3547 0.8547 0.0000  6 Re 2.65-2.71, 2 W 2.90, 2 Hf 2.96
Re1 0.8481 0.3481 0.5000  6 W 2.65-2.71, 2 Re 2.90
Re2 0.3481 0.1519 0.5000  6 W 2.65-2.71, 2 Re 2.90
Re3 0.6519 0.8481 0.5000  6 W 2.65-2.71, 2 Re 2.90
Re4 0.1519 0.6519 0.5000  6 W 2.65-2.71, 2 Re 2.90
Hf1 0.0000 0.0000 0.0000  2 Hf 2.90, 4 W 2.96
Hf2 0.5000 0.5000 0.0000  2 Hf 2.90, 4 W 2.96



(13)
An optimized crystal structure of HfReW. Source: the Alexandria database, functional GGA-PBE.

Total magnetic moment   0.00 μB/f.u.
Offset from the most stable computed form   2 meV per atom
Calculated density   17.0 g cm⁻³
Space-group type   Imma

a = 5.3243 Å, b = 5.3243 Å, c = 5.3243 Å
α = 90.53°, β = 119.77°, γ = 119.61°
With the nearest neighbours (Å) after each atom.
Sites, in units of the cell vectors:
Hf1 0.7500 0.8771 0.1271  6 Re 3.10-3.14, 6 W 3.13, 4 Hf 3.25-3.29
Hf2 0.2500 0.1229 0.8729  6 Re 3.10-3.14, 6 W 3.13, 4 Hf 3.25-3.29
Re1 0.5000 0.0000 0.5000  4 W 2.66, 2 Re 2.68
Re2 0.0000 0.5000 0.5000  4 W 2.66, 2 Re 2.68
W1 0.5000 0.5000 0.5000  4 Re 2.66, 2 W 2.67
W2 0.0000 0.5000 0.0000  4 Re 2.66, 2 W 2.67